Entry 1:
Compound: ErMgSi4
Source: Alexandria
Functional: PBE-GGA
Structure: relaxed

Geometry as POSCAR:
```
ErMgSi4
1.0
0.0000 3.7035 3.7035
3.7035 0.0000 3.7035
3.7035 3.7035 0.0000
Er Mg Si
1 1 4
Direct
0.0000 0.0000 0.0000
0.2500 0.2500 0.2500
0.1296 0.6235 0.6235
0.6235 0.1296 0.6235
0.6235 0.6235 0.1296
0.6235 0.6235 0.6235
```

Spin magnetization in μB per cell: 0.00
ΔE_f (raw) in eV per atom: -0.17

***

Entry 2:
Compound: Ce4PmY3Se8
Source: Alexandria
Functional: PBE-GGA
Structure: relaxed

Geometry as POSCAR:
```
Ce4PmY3Se8
1.0
4.1451 2.3931 6.8450
-4.1451 2.3931 6.8450
0.0000 -4.7863 6.8450
Ce Pm Y Se
4 1 3 8
Direct
0.0000 0.0000 0.0000
0.0000 0.5000 0.5000
0.5000 0.0000 0.5000
0.5000 0.5000 0.0000
0.5000 0.5000 0.5000
0.0000 0.0000 0.5000
0.0000 0.5000 0.0000
0.5000 0.0000 0.0000
0.2428 0.7498 0.7498
0.2463 0.2463 0.2463
0.2502 0.2502 0.7572
0.2502 0.7572 0.2502
0.7498 0.2428 0.7498
0.7498 0.7498 0.2428
0.7537 0.7537 0.7537
0.7572 0.2502 0.2502
```

Spin magnetization in μB per cell: 3.99
ΔE_f (raw) in eV per atom: -1.81

***

Entry 3:
Compound: BeIn2Au8
Source: Alexandria
Functional: PBE-GGA
Structure: relaxed

Geometry as POSCAR:
```
BeIn2Au8
1.0
8.3746 -1.7895 0.0000
8.3746 1.7895 0.0000
-0.5182 0.0000 6.9346
Be In Au
1 2 8
Direct
0.0000 0.0000 0.0000
0.3298 0.3298 0.8089
0.6702 0.6702 0.1911
0.0853 0.0853 0.4729
0.1379 0.1379 0.8843
0.2894 0.2894 0.3752
0.4941 0.4941 0.2261
0.5059 0.5059 0.7739
0.7106 0.7106 0.6248
0.8621 0.8621 0.1157
0.9147 0.9147 0.5271
```

Spin magnetization in μB per cell: 0.00
Formation energy from the elements in meV per atom: -64

***

Q: Which of these has the highest spin magnetization?
A: Ce4PmY3Se8

***

What did the third record say?
Compound: BeIn2Au8
Source: Alexandria
Functional: PBE-GGA
Structure: relaxed

Geometry as POSCAR:
```
BeIn2Au8
1.0
8.3746 -1.7895 0.0000
8.3746 1.7895 0.0000
-0.5182 0.0000 6.9346
Be In Au
1 2 8
Direct
0.0000 0.0000 0.0000
0.3298 0.3298 0.8089
0.6702 0.6702 0.1911
0.0853 0.0853 0.4729
0.1379 0.1379 0.8843
0.2894 0.2894 0.3752
0.4941 0.4941 0.2261
0.5059 0.5059 0.7739
0.7106 0.7106 0.6248
0.8621 0.8621 0.1157
0.9147 0.9147 0.5271
```

Spin magnetization in μB per cell: 0.00
Formation energy from the elements in meV per atom: -64

***

Q: What is the spin magnetization in the second record?
A: 3.99 μB per cell